[1]
Compound: Ho2Ta
Source: the Open Quantum Materials Database
Functional: PBE
Structure: relaxed

a b c (Å): 5.0227 5.0227 5.0227
angles (deg): 60.00 60.00 60.00
Closest atoms and distances in Å follow each position.
Sites, in units of the cell vectors:
Ho1 0.2500 0.2500 0.2500  4 Ta 3.08
Ho2 0.7500 0.7500 0.7500  4 Ta 3.08
Ta1 0.0000 0.0000 0.0000  8 Ho 3.08

Output
Crystal system   cubic
E_form   88 kJ per mole of atoms
Relative energy among the computed polymorphs   0 meV/atom

[2]
Compound: Nd2Zn2SeSO2
Source: the Open Quantum Materials Database
Functional: PBE
Structure: relaxed

a b c (Å): 4.0644 4.0644 10.6555
angles (deg): 90.00 90.00 120.00
Closest atoms and distances in Å follow each position.
Sites, in units of the cell vectors:
Nd1 0.3333 0.6667 0.2393  3 O 2.50
Nd2 0.0000 0.0000 0.7962  3 O 2.38
O1 0.6667 0.3333 0.3214  1 Zn 1.94
O2 0.6667 0.3333 0.8335  1 Zn 2.07
S1 0.0000 0.0000 0.0664  3 Zn 2.38
Se1 0.3333 0.6667 0.5874  3 Zn 2.51
Zn1 0.6667 0.3333 0.0280  1 O 2.07
Zn2 0.6667 0.3333 0.5033  1 O 1.94

Output
Crystal system   trigonal

[3]
Compound: SrPaNO
Source: the Open Quantum Materials Database
Functional: PBE
Structure: relaxed

a b c (Å): 4.2597 4.2597 9.2673
angles (deg): 90.00 90.00 90.00
Closest atoms and distances in Å follow each position.
Sites, in units of the cell vectors:
N1 0.0000 0.5000 0.3317  4 Sr 2.64
N2 0.5000 0.0000 0.6683  4 Sr 2.64
O1 0.0000 0.0000 0.0000  4 Pa 2.44
O2 0.5000 0.5000 0.0000  4 Pa 2.44
Pa1 0.5000 0.0000 0.1296  4 O 2.44
Pa2 0.0000 0.5000 0.8704  4 O 2.44
Sr1 0.0000 0.0000 0.5000  4 N 2.64
Sr2 0.5000 0.5000 0.5000  4 N 2.64

Output
Crystal system   tetragonal
Relative energy among the computed polymorphs   927 meV/atom

[4]
Compound: MgFeCuB
Source: the Open Quantum Materials Database
Functional: PBE
Structure: relaxed

a b c (Å): 3.9319 3.9319 3.9319
angles (deg): 60.00 60.00 60.00
Closest atoms and distances in Å follow each position.
Sites, in units of the cell vectors:
B1 0.0000 0.0000 0.0000  4 Cu 2.41, 4 Fe 2.41
Cu1 0.7500 0.7500 0.7500  4 B 2.41, 4 Mg 2.41
Fe1 0.2500 0.2500 0.2500  4 Mg 2.41, 4 B 2.41
Mg1 0.5000 0.5000 0.5000  4 Fe 2.41, 4 Cu 2.41

Output
Crystal system   cubic
Relative energy among the computed polymorphs   47 meV/atom

[5]
Compound: Li2ZnPb
Source: the Open Quantum Materials Database
Functional: PBE
Structure: relaxed

a b c (Å): 4.6686 4.6686 4.6686
angles (deg): 60.00 60.00 60.00
Closest atoms and distances in Å follow each position.
Sites, in units of the cell vectors:
Li1 0.5000 0.5000 0.5000  4 Zn 2.86, 4 Li 2.86
Li2 0.7500 0.7500 0.7500  4 Li 2.86, 4 Pb 2.86
Pb1 0.0000 0.0000 0.0000  4 Li 2.86, 4 Zn 2.86
Zn1 0.2500 0.2500 0.2500  4 Li 2.86, 4 Pb 2.86

Output
Crystal system   cubic

[6]
Compound: CdHgNO
Source: the Open Quantum Materials Database
Functional: PBE
Structure: relaxed

a b c (Å): 3.5733 6.0467 6.2760
angles (deg): 90.00 90.00 90.00
Closest atoms and distances in Å follow each position.
Sites, in units of the cell vectors:
Cd1 0.5000 0.0006 0.1592  2 O 2.19-2.20, 2 N 2.21
Cd2 0.5000 0.5006 0.8408  2 O 2.19-2.20, 2 N 2.21
Hg1 0.0000 0.5186 0.3556  2 N 2.15-2.20, 2 O 2.35
Hg2 0.0000 0.0186 0.6444  2 N 2.15-2.20, 2 O 2.35
N1 0.0000 0.8719 0.3241  2 Hg 2.15-2.20, 2 Cd 2.21
N2 0.0000 0.3719 0.6759  2 Hg 2.15-2.20, 2 Cd 2.21
O1 0.5000 0.3629 0.1657  2 Cd 2.19-2.20, 2 Hg 2.35
O2 0.5000 0.8629 0.8343  2 Cd 2.19-2.20, 2 Hg 2.35

Output
Crystal system   orthorhombic
Relative energy among the computed polymorphs   47 meV/atom

[7]
Compound: Nd3Mg3Tl2Hg
Source: the Open Quantum Materials Database
Functional: PBE
Structure: relaxed

a b c (Å): 7.7692 7.7692 4.6053
angles (deg): 90.00 90.00 120.00
Closest atoms and distances in Å follow each position.
Sites, in units of the cell vectors:
Hg1 0.0000 0.0000 0.0000  6 Mg 2.96, 3 Nd 3.22
Mg1 0.2394 0.0000 0.5000  2 Hg 2.96, 2 Tl 3.02, 2 Mg 3.22
Mg2 0.0000 0.2394 0.5000  2 Hg 2.96, 2 Tl 3.02, 2 Mg 3.22
Mg3 0.7606 0.7606 0.5000  2 Hg 2.96, 2 Tl 3.02, 2 Mg 3.22
Nd1 0.5852 0.0000 0.0000  1 Hg 3.22, 4 Tl 3.28, 2 Mg 3.54
Nd2 0.4148 0.4148 0.0000  1 Hg 3.22, 4 Tl 3.28, 2 Mg 3.54
Nd3 0.0000 0.5852 0.0000  1 Hg 3.22, 4 Tl 3.28, 2 Mg 3.54
Tl1 0.6667 0.3333 0.5000  3 Mg 3.02, 6 Nd 3.28
Tl2 0.3333 0.6667 0.5000  3 Mg 3.02, 6 Nd 3.28

Output
Crystal system   hexagonal

[8]
Compound: Nd2Dy2CBr2Cl3
Source: the Open Quantum Materials Database
Functional: PBE
Structure: relaxed

a b c (Å): 8.9366 8.9366 8.1706
angles (deg): 102.13 102.13 24.91
Closest atoms and distances in Å follow each position.
Sites, in units of the cell vectors:
Br1 0.1703 0.1703 0.3380  2 Dy 2.85, 1 Nd 2.99
Br2 0.8297 0.8297 0.6620  2 Dy 2.85, 1 Nd 2.99
C1 0.5000 0.5000 0.0000  2 Dy 2.40, 4 Nd 2.60
Cl1 0.8248 0.8248 0.1405  2 Dy 2.76, 1 Nd 2.92
Cl2 0.5000 0.5000 0.5000  4 Nd 3.03
Cl3 0.1752 0.1752 0.8595  2 Dy 2.76, 1 Nd 2.92
Dy1 0.6409 0.6409 0.0749  1 C 2.40
Dy2 0.3591 0.3591 0.9251  1 C 2.40
Nd1 0.9962 0.9962 0.2121  2 C 2.60
Nd2 0.0038 0.0038 0.7879  2 C 2.60

Output
Crystal system   monoclinic
Relative energy among the computed polymorphs   1 meV/atom

[9]
Compound: YErGeCl2
Source: the Open Quantum Materials Database
Functional: PBE
Structure: relaxed

a b c (Å): 4.0596 4.0596 9.6112
angles (deg): 90.00 90.00 120.00
Closest atoms and distances in Å follow each position.
Sites, in units of the cell vectors:
Cl1 0.0000 0.0000 0.1715  3 Er 2.81
Cl2 0.3333 0.6667 0.8310  3 Y 2.82
Er1 0.3333 0.6667 0.3324  3 Cl 2.81, 3 Ge 2.83
Ge1 0.6667 0.3333 0.4979  3 Er 2.83, 3 Y 2.85
Y1 0.0000 0.0000 0.6673  3 Cl 2.82, 3 Ge 2.85

Output
Crystal system   trigonal

[10]
Compound: PmNdHo
Source: the Open Quantum Materials Database
Functional: PBE
Structure: relaxed

a b c (Å): 5.4881 5.4881 5.4881
angles (deg): 60.00 60.00 60.00
Closest atoms and distances in Å follow each position.
Sites, in units of the cell vectors:
Ho1 0.0000 0.0000 0.0000  4 Pm 3.36, 4 Nd 3.36
Nd1 0.2500 0.2500 0.2500  4 Ho 3.36
Pm1 0.7500 0.7500 0.7500  4 Ho 3.36

Output
Crystal system   cubic
E_form   67 kJ per mole of atoms
Relative energy among the computed polymorphs   0 meV/atom

[11]
Compound: K2HPdCl3
Source: the Open Quantum Materials Database
Functional: PBE
Structure: relaxed

a b c (Å): 6.9762 6.3851 6.4229
angles (deg): 66.00 56.74 57.26
Closest atoms and distances in Å follow each position.
Sites, in units of the cell vectors:
Cl1 0.2179 0.7492 0.2508  1 Pd 2.32
Cl2 0.2361 0.2361 0.7639  1 Pd 2.44
Cl3 0.7492 0.2179 0.7821  1 Pd 2.32
H1 0.8273 0.8273 0.1727  1 Pd 1.57
K1 0.2410 0.2410 0.2590  6 Cl 3.14-3.25, 2 H 3.32
K2 0.7410 0.7410 0.7590  6 Cl 3.14-3.25, 2 H 3.32
Pd1 0.9874 0.9874 0.0126  1 H 1.57

Output
Crystal system   orthorhombic

[12]
Compound: BeBiPtAu
Source: the Open Quantum Materials Database
Functional: PBE
Structure: relaxed

a b c (Å): 4.7022 4.7022 4.7022
angles (deg): 60.00 60.00 60.00
Closest atoms and distances in Å follow each position.
Sites, in units of the cell vectors:
Au1 0.0000 0.0000 0.0000  4 Bi 2.88, 4 Be 2.88
Be1 0.7500 0.7500 0.7500  4 Pt 2.88, 4 Au 2.88
Bi1 0.2500 0.2500 0.2500  4 Pt 2.88, 4 Au 2.88
Pt1 0.5000 0.5000 0.5000  4 Bi 2.88, 4 Be 2.88

Output
Crystal system   cubic
Relative energy among the computed polymorphs   0 meV/atom

[13]
Compound: ScZnNiW
Source: the Open Quantum Materials Database
Functional: PBE
Structure: relaxed

a b c (Å): 4.4496 4.4496 4.4496
angles (deg): 60.00 60.00 60.00
Closest atoms and distances in Å follow each position.
Sites, in units of the cell vectors:
Ni1 0.7500 0.7500 0.7500  4 W 2.72, 4 Zn 2.72
Sc1 0.2500 0.2500 0.2500  4 Zn 2.72, 4 W 2.72
W1 0.5000 0.5000 0.5000  4 Ni 2.72, 4 Sc 2.72
Zn1 0.0000 0.0000 0.0000  4 Sc 2.72, 4 Ni 2.72

Output
Crystal system   cubic
E_form   30 kJ per mole of atoms

[14]
Compound: DyGeAuSe2S
Source: the Open Quantum Materials Database
Functional: PBE
Structure: relaxed

a b c (Å): 6.9403 6.9403 10.2272
angles (deg): 90.00 90.00 146.95
Closest atoms and distances in Å follow each position.
Sites, in units of the cell vectors:
Au1 0.5228 0.4772 0.2500  2 S 2.57, 2 Se 2.60
Au2 0.4772 0.5228 0.7500  2 S 2.57, 2 Se 2.60
Dy1 0.0000 0.0000 0.0000  2 S 2.89, 4 Se 2.91
Dy2 0.0000 0.0000 0.5000  2 S 2.89, 4 Se 2.91
Ge1 0.2436 0.7564 0.2500  2 S 2.86, 4 Se 3.00
Ge2 0.7564 0.2436 0.7500  2 S 2.86, 4 Se 3.00
S1 0.8992 0.1008 0.2500  2 Au 2.57, 2 Ge 2.86
S2 0.1008 0.8992 0.7500  2 Au 2.57, 2 Ge 2.86
Se1 0.6539 0.3461 0.0619  1 Au 2.60
Se2 0.6539 0.3461 0.4381  1 Au 2.60
Se3 0.3461 0.6539 0.5619  1 Au 2.60
Se4 0.3461 0.6539 0.9381  1 Au 2.60

Output
Crystal system   orthorhombic

[15]
Compound: CsTmHgS3
Source: the Open Quantum Materials Database
Functional: PBE
Structure: relaxed

a b c (Å): 9.0789 9.0789 9.2433
angles (deg): 100.59 100.59 26.01
Closest atoms and distances in Å follow each position.
Sites, in units of the cell vectors:
Cs1 0.1522 0.1522 0.0601  7 S 3.34-3.53
Cs2 0.8478 0.8478 0.9399  7 S 3.34-3.53
Hg1 0.4873 0.4873 0.2746  4 S 2.59-2.90
Hg2 0.5127 0.5127 0.7254  4 S 2.59-2.90
S1 0.5000 0.5000 0.0000  2 Hg 2.59
S2 0.3387 0.3387 0.2474  1 Hg 2.59, 2 Tm 2.71
S3 0.6766 0.6766 0.3733  3 Tm 2.71
S4 0.0000 0.0000 0.5000  4 Hg 2.90, 2 Tm 2.91
S5 0.3234 0.3234 0.6267  3 Tm 2.71
S6 0.6613 0.6613 0.7526  1 Hg 2.59, 2 Tm 2.71
Tm1 0.8325 0.8325 0.4374  6 S 2.71-2.91
Tm2 0.1675 0.1675 0.5626  6 S 2.71-2.91

Output
Crystal system   monoclinic

[16]
Compound: NaTbCoSe3
Source: the Open Quantum Materials Database
Functional: PBE
Structure: relaxed

a b c (Å): 8.3451 3.9744 9.3505
angles (deg): 90.00 104.34 90.00
Closest atoms and distances in Å follow each position.
Sites, in units of the cell vectors:
Co1 0.0788 0.2500 0.0839  4 Se 2.31-2.42
Co2 0.9212 0.7500 0.9161  4 Se 2.31-2.42
Na1 0.8139 0.7500 0.3010  5 Se 2.92-3.21
Na2 0.1861 0.2500 0.6990  5 Se 2.92-3.21
Se1 0.2029 0.7500 0.0218  3 Co 2.31-2.38
Se2 0.5694 0.2500 0.3360  3 Tb 2.85-2.87, 2 Na 2.92
Se3 0.0851 0.2500 0.3443  1 Co 2.42
Se4 0.9149 0.7500 0.6557  1 Co 2.42
Se5 0.4306 0.7500 0.6640  3 Tb 2.85-2.87, 2 Na 2.92
Se6 0.7971 0.2500 0.9782  3 Co 2.31-2.38
Tb1 0.3283 0.7500 0.3480  6 Se 2.83-2.97
Tb2 0.6717 0.2500 0.6520  6 Se 2.83-2.97

Output
Crystal system   monoclinic
Relative energy among the computed polymorphs   0 meV/atom

[17]
Compound: NaTaO3
Source: the Open Quantum Materials Database
Functional: PBE
Structure: relaxed

a b c (Å): 5.4680 5.6320 8.3513
angles (deg): 90.00 90.00 90.00
Closest atoms and distances in Å follow each position.
Sites, in units of the cell vectors:
Na1 0.5000 0.0000 0.0000  4 O 2.21-2.27
Na2 0.0000 0.5000 0.0000  4 O 2.21-2.27
Na3 0.5000 0.0000 0.5000  4 O 2.21-2.27
Na4 0.0000 0.5000 0.5000  4 O 2.21-2.27
O1 0.6487 0.3530 0.0865  1 Ta 1.81
O2 0.8513 0.8530 0.0865  1 Ta 1.81
O3 0.1750 0.3154 0.2500  2 Ta 1.92-2.04
O4 0.3250 0.8154 0.2500  2 Ta 1.92-2.04
O5 0.6487 0.3530 0.4135  1 Ta 1.81
O6 0.8513 0.8530 0.4135  1 Ta 1.81
O7 0.1487 0.1470 0.5865  1 Ta 1.81
O8 0.3513 0.6470 0.5865  1 Ta 1.81
O9 0.6750 0.1846 0.7500  2 Ta 1.92-2.04
O10 0.8250 0.6846 0.7500  2 Ta 1.92-2.04
O11 0.1487 0.1470 0.9135  1 Ta 1.81
O12 0.3513 0.6470 0.9135  1 Ta 1.81
Ta1 0.4785 0.4859 0.2500  3 O 1.81-1.92
Ta2 0.0215 0.9859 0.2500  3 O 1.81-1.92
Ta3 0.9785 0.0141 0.7500  3 O 1.81-1.92
Ta4 0.5215 0.5141 0.7500  3 O 1.81-1.92

Output
Crystal system   orthorhombic

[18]
Compound: AsPdO3
Source: the Open Quantum Materials Database
Functional: PBE
Structure: relaxed

a b c (Å): 4.6736 5.4989 5.6078
angles (deg): 107.21 98.12 98.57
Closest atoms and distances in Å follow each position.
Sites, in units of the cell vectors:
As1 0.3461 0.2272 0.1601  3 O 1.79-1.88
As2 0.6098 0.7441 0.7819  4 O 1.74-1.79
O1 0.5451 0.9508 0.0642  2 As 1.75-1.88
O2 0.6792 0.4336 0.3602  1 As 1.79, 1 Pd 1.99
O3 0.2239 0.0835 0.3972  1 As 1.85, 1 Pd 2.05
O4 0.2593 0.6150 0.5934  1 As 1.74
O5 0.8537 0.9405 0.6756  1 As 1.74
O6 0.8197 0.5507 0.9137  1 As 1.79
Pd1 0.9116 0.7437 0.3114  4 O 1.99-2.12
Pd2 0.0380 0.3111 0.6676  4 O 2.01-2.11

Output
Crystal system   triclinic

[19]
Compound: Al2TlAg
Source: the Open Quantum Materials Database
Functional: PBE
Structure: relaxed

a b c (Å): 4.8918 4.8918 4.8918
angles (deg): 60.00 60.00 60.00
Closest atoms and distances in Å follow each position.
Sites, in units of the cell vectors:
Ag1 0.7500 0.7500 0.7500  4 Al 3.00, 4 Tl 3.00
Al1 0.2500 0.2500 0.2500  4 Tl 3.00, 4 Al 3.00
Al2 0.5000 0.5000 0.5000  4 Ag 3.00, 4 Al 3.00
Tl1 0.0000 0.0000 0.0000  4 Ag 3.00, 4 Al 3.00

Output
Crystal system   cubic

[20]
Compound: Ba2GaSn3Ir2
Source: the Open Quantum Materials Database
Functional: PBE
Structure: relaxed

a b c (Å): 6.6732 6.6732 7.6294
angles (deg): 90.25 90.25 38.38
Closest atoms and distances in Å follow each position.
Sites, in units of the cell vectors:
Ba1 0.5533 0.5533 0.2500  3 Ir 3.37-3.66, 6 Sn 3.48-3.76, 1 Ga 3.64
Ba2 0.4439 0.4439 0.7359  2 Ga 3.50, 3 Ir 3.53-3.55, 6 Sn 3.56-3.85
Ga1 0.8183 0.8183 0.4432  3 Ir 2.62-2.64
Ir1 0.2862 0.2862 0.2590  2 Ga 2.64, 4 Sn 2.71-2.78
Ir2 0.7251 0.7251 0.7489  1 Ga 2.62, 5 Sn 2.76-2.78
Sn1 0.8400 0.8400 0.0599  3 Ir 2.75-2.77, 1 Ga 2.94
Sn2 0.1651 0.1651 0.5522  3 Ir 2.71-2.76
Sn3 0.1681 0.1681 0.9508  3 Ir 2.78, 1 Sn 3.04

Output
Crystal system   monoclinic

Energy (computed, Ry per atom): -0.448, -0.392, -0.490, -0.335, -0.177, -0.237, -0.225, -0.387, -0.405, -0.294, -0.256, -0.295, -0.457, -0.342, -0.306, -0.369, -0.585, -0.413, -0.213, -0.374